Record 1
Density functional theory data (PBE) for crystalline Y2CoReRh at its relaxed geometry.

a b c (Å): 5.359 5.359 4.615
angles (deg): 90.00 90.00 90.00
Space group P4/mmm (No. 123)
Inequivalent atoms, fractional coordinates:
Y 0.000 0.500 0.000
Co 0.000 0.000 0.500
Re 0.500 0.500 0.000
Rh 0.500 0.500 0.500

The energy relative to the elements comes out at 849 meV/atom. The calculated total energy comes out at -7.12 eV/atom.

=====

Record 2
Density functional theory data (PBE) for crystalline DyTlPbBr6 at its relaxed geometry.

a b c (Å): 7.6374 7.6374 14.2503
angles (deg): 90.00 90.00 120.00
Space group P-31c (No. 163)
Inequivalent atoms, fractional coordinates:
Dy 0.3333 0.6667 0.2500
Tl 0.0000 0.0000 0.0000
Pb 0.3333 0.6667 0.7500
Br 0.0238 0.3765 0.1350

The uncorrected formation energy comes out at -1349.7 meV per atom. The calculated total energy comes out at -3.65 eV/atom.

=====

Record 3
Density functional theory data (PBE) for crystalline PHRuCl2 at its relaxed geometry.

a b c (Å): 4.635 4.635 3.247
angles (deg): 90.00 90.00 90.00
Space group P4/mmm (No. 123)
Inequivalent atoms, fractional coordinates:
P 0.000 0.000 0.000
H 0.000 0.000 0.500
Ru 0.500 0.500 0.000
Cl 0.000 0.500 0.500

The energy above the most stable polymorph in this dataset is 0.3548 eV/atom. The calculated total energy comes out at -3.42 eV/atom.

=====

Record 4
Density functional theory data (PBE) for crystalline Sr2CoAu at its relaxed geometry.

a b c (Å): 4.445 4.445 10.808
angles (deg): 90.00 90.00 90.00
Space group I-4m2 (No. 119)
Inequivalent atoms, fractional coordinates:
Sr 0.000 0.000 0.000
Sr 0.000 0.500 0.250
Co 0.000 0.000 0.500
Au 0.000 0.500 0.750

The energy relative to the elements comes out at 138 meV/atom. The calculated total energy comes out at -3.30 eV/atom.

=====

Record 5
Density functional theory data (PBE) for crystalline LaP2Br at its relaxed geometry.

a b c (Å): 4.080 4.080 5.354
angles (deg): 90.00 90.00 90.00
Space group P4/mmm (No. 123)
Inequivalent atoms, fractional coordinates:
La 0.000 0.000 0.000
P 0.000 0.500 0.500
Br 0.500 0.500 0.000

The uncorrected formation energy comes out at -570.6 meV per atom. The energy above the most stable polymorph in this dataset is 0.4036 eV/atom. The calculated total energy comes out at -4.93 eV/atom.

=====

Record 6
Density functional theory data (PBE) for crystalline CaI2O at its relaxed geometry.

a b c (Å): 6.041 6.041 16.263
angles (deg): 90.00 90.00 90.00
Space group I-42d (No. 122)
Inequivalent atoms, fractional coordinates:
Ca 0.000 0.000 0.000
I 0.220 0.250 0.625
O 0.000 0.000 0.500

The uncorrected formation energy comes out at -442.4 meV per atom. The energy above the most stable polymorph in this dataset is 0.0000 eV/atom. The calculated total energy comes out at -2.96 eV/atom.

=====

Record 7
Density functional theory data (PBE) for crystalline NdHoTh at its relaxed geometry.

a b c (Å): 4.959 4.959 8.540
angles (deg): 90.00 90.00 90.00
Space group P4/nmm (No. 129, origin choice 2)
Inequivalent atoms, fractional coordinates:
Nd 0.250 0.250 0.206
Ho 0.250 0.250 0.787
Th 0.250 0.750 0.500

The energy relative to the elements comes out at 194 meV/atom. The energy above the most stable polymorph in this dataset is 0.1685 eV/atom. The calculated total energy comes out at -5.39 eV/atom.

=====

Record 8
Density functional theory data (PBE) for crystalline YCrAg at its relaxed geometry.

a b c (Å): 3.3890 3.3890 6.8710
angles (deg): 90.00 90.00 120.00
Space group P3m1 (No. 156)
Inequivalent atoms, fractional coordinates:
Y 0.0000 0.0000 0.0000
Cr 0.3333 0.6667 0.6561
Ag 0.6667 0.3333 0.3543

The energy relative to the elements comes out at 499 meV/atom. The energy above the most stable polymorph in this dataset is 0.2689 eV/atom. The calculated total energy comes out at -5.81 eV/atom.

=====

> calculated total energy of number 2 (DyTlPbBr6)?

-3.65 eV/atom